Run a
# Sc2VCu PBE optimized geometry
# Spin magnetization (μB/f.u.): 1.7
data_Sc2VCu
_chemical_formula_sum 'Sc4 V2 Cu2'
_symmetry_space_group_name_H-M 'P 1'
_symmetry_Int_Tables_number 1
_symmetry_space_group_name_Hall 'P 1'
_cell_length_a 9.8687
_cell_length_b 9.8687
_cell_length_c 9.8687
_cell_angle_alpha 156.51
_cell_angle_beta 156.51
_cell_angle_gamma 33.46
loop_
_atom_site_label
_atom_site_fract_x
_atom_site_fract_y
_atom_site_fract_z
Sc1 0.1197 0.6250 0.9947
Sc2 0.3750 0.3697 0.4947
Sc3 0.6303 0.1250 0.0053
Sc4 0.8750 0.8803 0.5053
V1 0.2500 0.7500 0.5000
V2 0.5000 0.5000 0.0000
Cu1 0.0000 0.0000 0.0000
Cu2 0.7500 0.2500 0.5000

Run b
# Sc2VCu PBE optimized geometry
# Spin magnetization (μB/f.u.): 3.5
data_Sc2VCu
_chemical_formula_sum 'Sc2 V1 Cu1'
_symmetry_space_group_name_H-M 'P 1'
_symmetry_Int_Tables_number 1
_symmetry_space_group_name_Hall 'P 1'
_cell_length_a 4.6975
_cell_length_b 4.6975
_cell_length_c 4.6975
_cell_angle_alpha 60.00
_cell_angle_beta 60.00
_cell_angle_gamma 60.00
loop_
_atom_site_label
_atom_site_fract_x
_atom_site_fract_y
_atom_site_fract_z
Sc1 0.2500 0.2500 0.2500
Sc2 0.7500 0.7500 0.7500
V1 0.0000 0.0000 0.0000
Cu1 0.5000 0.5000 0.5000

Run c
# Sc2VCu PBE optimized geometry
# Spin magnetization (μB/f.u.): 3.3
data_Sc2VCu
_chemical_formula_sum 'Sc2 V1 Cu1'
_symmetry_space_group_name_H-M 'P 1'
_symmetry_Int_Tables_number 1
_symmetry_space_group_name_Hall 'P 1'
_cell_length_a 4.6120
_cell_length_b 4.6120
_cell_length_c 3.4325
_cell_angle_alpha 90.00
_cell_angle_beta 90.00
_cell_angle_gamma 90.00
loop_
_atom_site_label
_atom_site_fract_x
_atom_site_fract_y
_atom_site_fract_z
Sc1 0.0000 0.5000 0.0000
Sc2 0.5000 0.0000 0.0000
V1 0.0000 0.0000 0.5000
Cu1 0.5000 0.5000 0.5000

Which of them is most stable, and which least? Most stable: run c; least stable: run a.

Run a
# Sc3VCu PBE optimized geometry
# Spin magnetization (μB/f.u.): 0.0
data_Sc3VCu
_chemical_formula_sum 'Sc3 V1 Cu1'
_symmetry_space_group_name_H-M 'P 1'
_symmetry_Int_Tables_number 1
_symmetry_space_group_name_Hall 'P 1'
_cell_length_a 4.8494
_cell_length_b 4.8494
_cell_length_c 4.8494
_cell_angle_alpha 90.00
_cell_angle_beta 90.00
_cell_angle_gamma 90.00
loop_
_atom_site_label
_atom_site_fract_x
_atom_site_fract_y
_atom_site_fract_z
Sc1 0.0000 0.0000 0.5000
Sc2 0.0000 0.5000 0.0000
Sc3 0.5000 0.0000 0.0000
V1 0.0000 0.0000 0.0000
Cu1 0.5000 0.5000 0.5000

Run b
# Sc3VCu PBE optimized geometry
# Spin magnetization (μB/f.u.): 3.9
data_Sc3VCu
_chemical_formula_sum 'Sc3 V1 Cu1'
_symmetry_space_group_name_H-M 'P 1'
_symmetry_Int_Tables_number 1
_symmetry_space_group_name_Hall 'P 1'
_cell_length_a 4.9253
_cell_length_b 4.9253
_cell_length_c 4.9253
_cell_angle_alpha 90.00
_cell_angle_beta 90.00
_cell_angle_gamma 90.00
loop_
_atom_site_label
_atom_site_fract_x
_atom_site_fract_y
_atom_site_fract_z
Sc1 0.0000 0.0000 0.5000
Sc2 0.0000 0.5000 0.0000
Sc3 0.5000 0.0000 0.0000
V1 0.5000 0.5000 0.5000
Cu1 0.0000 0.0000 0.0000

Which of them is most stable, and which least? Most stable: run b; least stable: run a.

Run a
# ScV3Cu PBE optimized geometry
# Spin magnetization (μB/f.u.): 5.1
data_ScV3Cu
_chemical_formula_sum 'Sc1 V3 Cu1'
_symmetry_space_group_name_H-M 'P 1'
_symmetry_Int_Tables_number 1
_symmetry_space_group_name_Hall 'P 1'
_cell_length_a 4.5193
_cell_length_b 4.5193
_cell_length_c 4.5193
_cell_angle_alpha 90.00
_cell_angle_beta 90.00
_cell_angle_gamma 90.00
loop_
_atom_site_label
_atom_site_fract_x
_atom_site_fract_y
_atom_site_fract_z
Sc1 0.0000 0.0000 0.0000
V1 0.0000 0.5000 0.5000
V2 0.5000 0.0000 0.5000
V3 0.5000 0.5000 0.0000
Cu1 0.5000 0.5000 0.5000

Run b
# ScV3Cu PBE optimized geometry
# Spin magnetization (μB/f.u.): 4.0
data_ScV3Cu
_chemical_formula_sum 'Sc1 V3 Cu1'
_symmetry_space_group_name_H-M 'P 1'
_symmetry_Int_Tables_number 1
_symmetry_space_group_name_Hall 'P 1'
_cell_length_a 4.4547
_cell_length_b 4.4547
_cell_length_c 4.4547
_cell_angle_alpha 90.00
_cell_angle_beta 90.00
_cell_angle_gamma 90.00
loop_
_atom_site_label
_atom_site_fract_x
_atom_site_fract_y
_atom_site_fract_z
Sc1 0.0000 0.0000 0.0000
V1 0.0000 0.0000 0.5000
V2 0.0000 0.5000 0.0000
V3 0.5000 0.0000 0.0000
Cu1 0.5000 0.5000 0.5000

Which of them is most stable, and which least? Most stable: run a; least stable: run b.

Run a
# Sc3CuW PBE optimized geometry
# Spin magnetization (μB/f.u.): 0.0
data_Sc3CuW
_chemical_formula_sum 'Sc3 Cu1 W1'
_symmetry_space_group_name_H-M 'P 1'
_symmetry_Int_Tables_number 1
_symmetry_space_group_name_Hall 'P 1'
_cell_length_a 4.7894
_cell_length_b 4.7894
_cell_length_c 4.7894
_cell_angle_alpha 90.00
_cell_angle_beta 90.00
_cell_angle_gamma 90.00
loop_
_atom_site_label
_atom_site_fract_x
_atom_site_fract_y
_atom_site_fract_z
Sc1 0.0000 0.0000 0.5000
Sc2 0.0000 0.5000 0.0000
Sc3 0.5000 0.0000 0.0000
Cu1 0.0000 0.0000 0.0000
W1 0.5000 0.5000 0.5000

Run b
# Sc3CuW PBE optimized geometry
# Spin magnetization (μB/f.u.): 0.0
data_Sc3CuW
_chemical_formula_sum 'Sc3 Cu1 W1'
_symmetry_space_group_name_H-M 'P 1'
_symmetry_Int_Tables_number 1
_symmetry_space_group_name_Hall 'P 1'
_cell_length_a 5.0462
_cell_length_b 5.0462
_cell_length_c 5.0462
_cell_angle_alpha 90.00
_cell_angle_beta 90.00
_cell_angle_gamma 90.00
loop_
_atom_site_label
_atom_site_fract_x
_atom_site_fract_y
_atom_site_fract_z
Sc1 0.0000 0.0000 0.5000
Sc2 0.0000 0.5000 0.0000
Sc3 0.5000 0.0000 0.0000
Cu1 0.5000 0.5000 0.5000
W1 0.0000 0.0000 0.0000

Which of them is most stable, and which least? Most stable: run b; least stable: run a.

Run a
# ScCu2W PBE optimized geometry
# Spin magnetization (μB/f.u.): 0.0
data_ScCu2W
_chemical_formula_sum 'Sc1 Cu2 W1'
_symmetry_space_group_name_H-M 'P 1'
_symmetry_Int_Tables_number 1
_symmetry_space_group_name_Hall 'P 1'
_cell_length_a 5.1628
_cell_length_b 5.1628
_cell_length_c 4.7418
_cell_angle_alpha 111.29
_cell_angle_beta 111.29
_cell_angle_gamma 31.25
loop_
_atom_site_label
_atom_site_fract_x
_atom_site_fract_y
_atom_site_fract_z
Sc1 0.0000 0.0000 0.0000
Cu1 0.2397 0.2397 0.8386
Cu2 0.5247 0.5247 0.5058
W1 0.7719 0.7719 0.3652

Run b
# ScCu2W PBE optimized geometry
# Spin magnetization (μB/f.u.): 0.1
data_ScCu2W
_chemical_formula_sum 'Sc1 Cu2 W1'
_symmetry_space_group_name_H-M 'P 1'
_symmetry_Int_Tables_number 1
_symmetry_space_group_name_Hall 'P 1'
_cell_length_a 4.9846
_cell_length_b 4.9846
_cell_length_c 4.9846
_cell_angle_alpha 135.05
_cell_angle_beta 135.05
_cell_angle_gamma 65.45
loop_
_atom_site_label
_atom_site_fract_x
_atom_site_fract_y
_atom_site_fract_z
Sc1 0.0000 0.0000 0.0000
Cu1 0.5000 0.5000 0.0000
Cu2 0.7500 0.2500 0.5000
W1 0.2500 0.7500 0.5000

Run c
# ScCu2W PBE optimized geometry
# Spin magnetization (μB/f.u.): 3.0
data_ScCu2W
_chemical_formula_sum 'Sc1 Cu2 W1'
_symmetry_space_group_name_H-M 'P 1'
_symmetry_Int_Tables_number 1
_symmetry_space_group_name_Hall 'P 1'
_cell_length_a 4.4586
_cell_length_b 4.4586
_cell_length_c 4.4586
_cell_angle_alpha 60.00
_cell_angle_beta 60.00
_cell_angle_gamma 60.00
loop_
_atom_site_label
_atom_site_fract_x
_atom_site_fract_y
_atom_site_fract_z
Sc1 0.0000 0.0000 0.0000
Cu1 0.2500 0.2500 0.2500
Cu2 0.5000 0.5000 0.5000
W1 0.7500 0.7500 0.7500

Run d
# ScCu2W PBE optimized geometry
# Spin magnetization (μB/f.u.): 0.0
data_ScCu2W
_chemical_formula_sum 'Sc1 Cu2 W1'
_symmetry_space_group_name_H-M 'P 1'
_symmetry_Int_Tables_number 1
_symmetry_space_group_name_Hall 'P 1'
_cell_length_a 2.8432
_cell_length_b 3.7645
_cell_length_c 5.7193
_cell_angle_alpha 90.00
_cell_angle_beta 90.64
_cell_angle_gamma 90.00
loop_
_atom_site_label
_atom_site_fract_x
_atom_site_fract_y
_atom_site_fract_z
Sc1 0.0000 0.0000 0.0000
Cu1 0.4991 0.5000 0.7275
Cu2 0.5009 0.5000 0.2725
W1 0.0000 0.0000 0.5000

Which of them is most stable, and which least? Most stable: run d; least stable: run c.

Run a
# ScCu2W PBE optimized geometry
# Spin magnetization (μB/f.u.): 0.0
data_ScCu2W
_chemical_formula_sum 'Sc1 Cu2 W1'
_symmetry_space_group_name_H-M 'P 1'
_symmetry_Int_Tables_number 1
_symmetry_space_group_name_Hall 'P 1'
_cell_length_a 2.8514
_cell_length_b 4.2743
_cell_length_c 5.0773
_cell_angle_alpha 90.00
_cell_angle_beta 99.83
_cell_angle_gamma 90.00
loop_
_atom_site_label
_atom_site_fract_x
_atom_site_fract_y
_atom_site_fract_z
Sc1 0.0000 0.0000 0.0000
Cu1 0.3571 0.0000 0.5210
Cu2 0.4209 0.5000 0.8183
W1 0.7383 0.5000 0.3569

Run b
# ScCu2W PBE optimized geometry
# Spin magnetization (μB/f.u.): 0.0
data_ScCu2W
_chemical_formula_sum 'Sc1 Cu2 W1'
_symmetry_space_group_name_H-M 'P 1'
_symmetry_Int_Tables_number 1
_symmetry_space_group_name_Hall 'P 1'
_cell_length_a 4.7543
_cell_length_b 4.7543
_cell_length_c 2.7615
_cell_angle_alpha 90.00
_cell_angle_beta 90.00
_cell_angle_gamma 105.28
loop_
_atom_site_label
_atom_site_fract_x
_atom_site_fract_y
_atom_site_fract_z
Sc1 0.0000 0.0000 0.0000
Cu1 0.0000 0.5000 0.5000
Cu2 0.5000 0.0000 0.5000
W1 0.5000 0.5000 0.0000

Run c
# ScCu2W PBE optimized geometry
# Spin magnetization (μB/f.u.): 0.0
data_ScCu2W
_chemical_formula_sum 'Sc1 Cu2 W1'
_symmetry_space_group_name_H-M 'P 1'
_symmetry_Int_Tables_number 1
_symmetry_space_group_name_Hall 'P 1'
_cell_length_a 9.3297
_cell_length_b 9.3297
_cell_length_c 9.3297
_cell_angle_alpha 17.24
_cell_angle_beta 17.24
_cell_angle_gamma 17.24
loop_
_atom_site_label
_atom_site_fract_x
_atom_site_fract_y
_atom_site_fract_z
Sc1 0.0000 0.0000 0.0000
Cu1 0.2477 0.2477 0.2477
Cu2 0.7523 0.7523 0.7523
W1 0.5000 0.5000 0.5000

Which of them is most stable, and which least? Most stable: run b; least stable: run c.